## KSr2Se2O6 (PBE)

Data for KSr2Se2O6 after structural relaxation.

Values from the calculation:
Formation energy from raw total energies ... -1.61 eV/atom
SG ... P-1 (2)

Cell lengths 6.4473, 6.9789, 6.9670 Å; angles 109.00, 96.88, 50.96 degrees
Site moments in Bohr magnetons follow the coordinates.
Sites, in units of the cell vectors:
O: 0.0108 0.5631 0.8273  0.04
K: 0.5000 0.0000 0.5000  0.01
O: 0.9525 0.8901 0.6125  0.04
O: 0.0475 0.1099 0.3875  0.04
Se: 0.8335 0.4099 0.3454  0.12
O: 0.6602 0.3358 0.1506  0.06
Sr: 0.1602 0.6789 0.1668  0.01
Se: 0.1665 0.5901 0.6546  0.12
O: 0.3398 0.6642 0.8494  0.06
Sr: 0.8398 0.3211 0.8332  0.01
O: 0.9892 0.4369 0.1727  0.04


## Mn3AuCl (PBE)

Data for Mn3AuCl after structural relaxation.

Values from the calculation:
Formation energy from raw total energies ... 0.87 eV/atom
ΔE to the lowest computed polymorph ... 202.1 meV per atom
SG ... Pm-3m (221)

Cell lengths 4.1004, 4.1004, 4.1004 Å; angles 90.00, 90.00, 90.00 degrees
Sites, in units of the cell vectors:
Mn: 0.0000 0.0000 0.5000
Mn: 0.0000 0.5000 0.0000
Cl: 0.0000 0.0000 0.0000
Au: 0.5000 0.5000 0.5000
Mn: 0.5000 0.0000 0.0000


## Dy4Cu2Pt (PBE)

Data for Dy4Cu2Pt after structural relaxation.

Values from the calculation:
ΔE to the lowest computed polymorph ... 0.0 meV per atom
SG ... P1 (1)
ΔH_f (0 K) ... -467 meV/atom

Cell lengths 7.5054, 7.5935, 6.9491 Å; angles 106.68, 106.81, 106.05 degrees
Sites, in units of the cell vectors:
Cu: 0.6216 0.3596 0.8022
Dy: 0.3373 0.0783 0.8832
Dy: 0.9035 0.2775 0.2273
Dy: 0.9927 0.6083 0.7564
Dy: 0.3385 0.5452 0.1592
Pt: 0.9690 0.9631 0.9794
Dy: 0.3054 0.0553 0.3676
Cu: 0.2196 0.3416 0.6808
Dy: 0.8277 0.7045 0.2250
Dy: 0.8229 0.1065 0.6502
Cu: 0.6119 0.3768 0.3854
Dy: 0.5394 0.6860 0.7291
Cu: 0.5674 0.9334 0.1763
Pt: 0.1930 0.7138 0.4779